A plane-wave DFT calculation with PBE-GGA was carried out for an optimized crystal structure of LiMnOs2.

Cell: 2.8106 4.4720 8.8223 Å, 90.00 90.00 90.00°
Space group Cmmm (No. 65)
Unique sites:
Li  0.0000  0.0000  0.0000 x2
Mn  0.0000  0.0000  0.5000 x2
Os  0.0000  0.5000  0.2610 x4

Calculated values
energy above the lowest structure with this stoichiometry: 0.47 eV per formula unit
size of the total moment: 2.55 μB per formula unit
energy relative to the elements: 0.242 eV per atom
theoretical density: 13.25 g/cm3
volume: 110.9 Å³/cell

***

A plane-wave DFT calculation with PBE-GGA was carried out for an optimized crystal structure of LiMnP2Os.

Cell: 3.9116 3.9116 9.4253 Å, 90.00 90.00 90.00°
Space group I-4m2 (No. 119)
Unique sites:
Li  0.0000  0.0000  0.0000 x2
Mn  0.0000  0.5000  0.7500 x2
P  0.0000  0.0000  0.3801 x4
Os  0.0000  0.5000  0.2500 x2

Calculated values
size of the total moment: 1.94 μB per formula unit
energy relative to the elements: -0.471 eV per atom
theoretical density: 7.23 g/cm3
volume: 144.2 Å³/cell

***

A plane-wave DFT calculation with PBE-GGA was carried out for an optimized crystal structure of LiMnOs2Ru.

Cell: 4.6654 4.6654 4.7883 Å, 90.00 90.00 90.00°
Space group P4/mmm (No. 123)
Unique sites:
Li  0.0000  0.0000  0.0000 x1
Mn  0.5000  0.5000  0.0000 x1
Os  0.0000  0.5000  0.5000 x2
Ru  0.5000  0.5000  0.5000 x1

Calculated values
size of the total moment: 4.33 μB per formula unit
energy relative to the elements: 1.589 eV per atom
theoretical density: 8.66 g/cm3
volume: 104.2 Å³/cell

***

A plane-wave DFT calculation with PBE-GGA was carried out for an optimized crystal structure of LiMnSbOs.

Cell: 6.2305 6.2305 6.2305 Å, 90.00 90.00 90.00°
Space group F-43m (No. 216)
Unique sites:
Li  0.0000  0.0000  0.0000 x4
Mn  0.2500  0.2500  0.2500 x4
Sb  0.2500  0.2500  0.7500 x4
Os  0.0000  0.0000  0.5000 x4

Calculated values
size of the total moment: 3.00 μB per formula unit
E_form (uncorrected): -0.24 eV per formula unit
theoretical density: 10.27 g/cm3
volume: 241.9 Å³/cell

***

> Which of these has the highest size of the total moment?

LiMnOs2Ru

***

What did the fourth record say?
A plane-wave DFT calculation with PBE-GGA was carried out for an optimized crystal structure of LiMnSbOs.

Cell: 6.2305 6.2305 6.2305 Å, 90.00 90.00 90.00°
Space group F-43m (No. 216)
Unique sites:
Li  0.0000  0.0000  0.0000 x4
Mn  0.2500  0.2500  0.2500 x4
Sb  0.2500  0.2500  0.7500 x4
Os  0.0000  0.0000  0.5000 x4

Calculated values
size of the total moment: 3.00 μB per formula unit
E_form (uncorrected): -0.24 eV per formula unit
theoretical density: 10.27 g/cm3
volume: 241.9 Å³/cell